A plane-wave DFT calculation with PBE was carried out for Pm2SmTm3 after structural relaxation.

Output
**Polymorph energy (0 for the lowest one)**: 0.00 eV/f.u.
**DFT total energy**: -4.487 eV/atom
**Crystal system**: monoclinic
**Total magnetic moment**: 0.000 μB/atom

Unit cell a=17.7774 b=3.4985 c=14.1787 alpha=90.00 beta=117.40 gamma=90.00
Space group C2/m (No. 12)
Inequivalent atoms, fractional coordinates:
Pm 0.1560 0.0000 0.4676 [4 per cell]
Pm 0.1806 0.5000 0.8821 [4 per cell]
Sm 0.0623 0.0000 0.6438 [4 per cell]
Tm 0.0397 0.5000 0.2070 [4 per cell]
Tm 0.0986 0.0000 0.0262 [4 per cell]
Tm 0.2369 0.0000 0.2922 [4 per cell]

A plane-wave DFT calculation with PBE was carried out for Rb3Pm3TlO8 after structural relaxation.

Output
**DFT total energy**: -6.077 eV/atom
**Uncorrected formation energy**: -2131 meV per atom
**Crystal system**: trigonal
**Total magnetic moment**: 0.080 μB/atom

Unit cell a=7.1873 b=7.1873 c=19.9281 alpha=90.00 beta=90.00 gamma=120.00
Space group R-3m (No. 166, hexagonal axes)
Inequivalent atoms, fractional coordinates:
Rb 0.0000 0.5000 0.0000 [9 per cell]
Pm 0.0000 0.5000 0.5000 [9 per cell]
Tl 0.0000 0.0000 0.5000 [3 per cell]
O 0.0000 0.0000 0.2245 [6 per cell]
O 0.0096 0.5048 0.2253 [18 per cell]